No. 1
First-principles (PBE) data for an optimized crystal structure of Tb5SmAl2, as listed in Alexandria.

The structure belongs to space group Immm (No. 71); the cell edges are 3.589, 10.297 and 12.432 Å and the angles 90.00°, 90.00° and 90.00°. The distinct sites, in fractional coordinates, are Tb at (0.000, 0.000, 0.000), Tb at (0.000, 0.276, 0.362), Sm at (0.000, 0.500, 0.000) and Al at (0.000, 0.000, 0.263).

As for the formation energy from the elements: -0.09 eV per atom. Its density of states at the Fermi level is 1.498 states/eV/atom.

---

No. 2
First-principles (PBE) data for an optimized crystal structure of ErTiCoRh, as listed in Alexandria.

The structure belongs to space group F-43m (No. 216); the cell edges are 6.409, 6.409 and 6.409 Å and the angles 90.00°, 90.00° and 90.00°. The distinct sites, in fractional coordinates, are Er at (0.000, 0.000, 0.000), Ti at (0.000, 0.000, 0.500), Co at (0.250, 0.250, 0.750) and Rh at (0.250, 0.250, 0.250).

As for the formation energy from the elements: -0.44 eV per atom. Its density of states at the Fermi level is 0.955 states/eV/atom.

---

No. 3
First-principles (PBE) data for an optimized crystal structure of DySc2Cu3, as listed in Alexandria.

The structure belongs to space group P4/mmm (No. 123); the cell edges are 3.309, 3.309 and 10.086 Å and the angles 90.00°, 90.00° and 90.00°. The distinct sites, in fractional coordinates, are Dy at (0.000, 0.000, 0.000), Sc at (0.000, 0.000, 0.340), Cu at (0.500, 0.500, 0.187) and Cu at (0.500, 0.500, 0.500).

As for the formation energy from the elements: -0.26 eV per atom. Its density of states at the Fermi level is 0.491 states/eV/atom.

---

No. 4
First-principles (PBE) data for an optimized crystal structure of SrGa2ReC, as listed in Alexandria.

The structure belongs to space group P4/mmm (No. 123); the cell edges are 4.806, 4.806 and 5.976 Å and the angles 90.00°, 90.00° and 90.00°. The distinct sites, in fractional coordinates, are Sr at (0.000, 0.000, 0.000), Ga at (0.000, 0.500, 0.500), Re at (0.000, 0.000, 0.500) and C at (0.500, 0.500, 0.000).

As for the formation energy from the elements: 1.49 eV per atom. Its density of states at the Fermi level is 0.703 states/eV/atom.

---

No. 5
First-principles (PBE) data for an optimized crystal structure of Pr2ScPd, as listed in Alexandria.

The structure belongs to space group R-3m (No. 166, hexagonal axes); the cell edges are 3.4675, 3.4675 and 32.5213 Å and the angles 90.00°, 90.00° and 120.00°. The distinct sites, in fractional coordinates, are Pr at (0.0000, 0.0000, 0.0978), Sc at (0.0000, 0.0000, 0.0000) and Pd at (0.0000, 0.0000, 0.5000).

As for the formation energy from the elements: 0.05 eV per atom. As for the relative energy among the computed polymorphs: 348 meV per atom. Its density of states at the Fermi level is 1.479 states/eV/atom.

---

Number 1: V 28.715 Å³/atom, spin magnetization 0.01 μB per formula unit. Number 2: V 16.456 Å³/atom, spin magnetization 0.30 μB per formula unit. Number 3: V 18.401 Å³/atom, spin magnetization 0.00 μB per formula unit. Number 4: V 27.610 Å³/atom, spin magnetization 3.26 μB per formula unit. Number 5: V 28.219 Å³/atom, spin magnetization 0.00 μB per formula unit.